Entry 1:
The following is a DFT calculation (PBE-GGA) of an optimized crystal structure of La2Cd3Au6. Values from VASP.

Geometry as Quantum ESPRESSO input:
```
&SYSTEM
  ibrav = 0, nat = 11, ntyp = 3
/
ATOMIC_SPECIES
Au 196.97 Au.upf
La 138.91 La.upf
Cd 112.41 Cd.upf
ATOMIC_POSITIONS crystal
Au 0.500 0.386 0.386
Au 0.500 0.348 0.965
Au 0.500 0.035 0.652
Au 0.500 0.614 0.614
Au 0.500 0.965 0.348
Au 0.500 0.652 0.035
La 0.000 0.302 0.698
La 0.000 0.698 0.302
Cd 0.000 0.226 0.226
Cd 0.000 0.774 0.774
Cd 0.500 0.000 0.000
CELL_PARAMETERS angstrom
-1.308 -2.966 2.510
6.017 -4.888 -2.639
6.263 1.515 5.054
```

Properties
Total energy ... -3.39 eV per atom
Calculated formation energy ... -0.458 eV/atom
D(E_F) ... 3.99 states/eV/cell
SG ... Cmmm
Calculated volume ... 266.0 Å³/f.u.

---

Entry 2:
The following is a DFT calculation (PBE-GGA) of an optimized crystal structure of LaCdAu2. Values from VASP.

Geometry as Quantum ESPRESSO input:
```
&SYSTEM
  ibrav = 0, nat = 4, ntyp = 3
/
ATOMIC_SPECIES
Au 196.97 Au.upf
Cd 112.41 Cd.upf
La 138.91 La.upf
ATOMIC_POSITIONS crystal
Au 0.000 0.980 0.021
Au 0.000 0.520 0.479
Cd 0.500 0.250 0.250
La 0.500 0.750 0.750
CELL_PARAMETERS angstrom
-0.488 2.653 -2.478
-1.831 -2.349 -2.154
-7.828 -0.532 0.973
```

Properties
Total energy ... -3.65 eV per atom
Calculated formation energy ... -0.548 eV/atom
D(E_F) ... 2.54 states/eV/cell
SG ... Pmmm
Calculated volume ... 94.3 Å³/f.u.

---

Entry 3:
The following is a DFT calculation (PBE-GGA) of an optimized crystal structure of La5CdAu4. Values from VASP.

Geometry as Quantum ESPRESSO input:
```
&SYSTEM
  ibrav = 0, nat = 10, ntyp = 3
/
ATOMIC_SPECIES
La 138.91 La.upf
Au 196.97 Au.upf
Cd 112.41 Cd.upf
ATOMIC_POSITIONS crystal
La 0.500 0.500 0.303
La 0.500 0.500 0.500
La 0.500 0.500 0.891
La 0.500 0.500 0.109
La 0.500 0.500 0.697
Au 0.000 0.000 0.204
Au 0.000 0.000 0.598
Au 0.000 0.000 0.796
Au 0.000 0.000 0.402
Cd 0.000 0.000 0.000
CELL_PARAMETERS angstrom
3.801 0.000 0.000
0.000 3.801 0.000
0.000 0.000 19.182
```

Properties
Total energy ... -4.56 eV per atom
Calculated formation energy ... -0.691 eV/atom
D(E_F) ... 9.10 states/eV/cell
SG ... P4/mmm
Calculated volume ... 277.1 Å³/f.u.

---

Entry 4:
The following is a DFT calculation (PBE-GGA) of an optimized crystal structure of LaCd6Au4. Values from VASP.

Geometry as Quantum ESPRESSO input:
```
&SYSTEM
  ibrav = 0, nat = 11, ntyp = 3
/
ATOMIC_SPECIES
Cd 112.41 Cd.upf
Au 196.97 Au.upf
La 138.91 La.upf
ATOMIC_POSITIONS crystal
Cd 0.000 0.539 0.078
Cd 0.500 0.205 0.410
Cd 0.500 0.590 0.795
Cd 0.000 0.922 0.461
Cd 0.500 0.205 0.795
Cd 0.000 0.539 0.461
Au 0.000 0.333 0.667
Au 0.500 0.817 0.634
Au 0.500 0.366 0.183
Au 0.500 0.817 0.183
La 0.000 0.000 0.000
CELL_PARAMETERS angstrom
-1.190 -3.051 2.855
-6.731 -1.465 -4.372
6.858 -4.135 -1.560
```

Properties
Total energy ... -2.47 eV per atom
Calculated formation energy ... -0.330 eV/atom
D(E_F) ... 5.99 states/eV/cell
SG ... P-6m2
Calculated volume ... 250.5 Å³/f.u.

---

Entry 5:
The following is a DFT calculation (PBE-GGA) of an optimized crystal structure of La2CdAu. Values from VASP.

Geometry as Quantum ESPRESSO input:
```
&SYSTEM
  ibrav = 0, nat = 4, ntyp = 3
/
ATOMIC_SPECIES
La 138.91 La.upf
Cd 112.41 Cd.upf
Au 196.97 Au.upf
ATOMIC_POSITIONS crystal
La 0.000 0.125 0.905
La 0.500 0.125 0.338
Cd 0.500 0.625 0.815
Au 0.000 0.625 0.443
CELL_PARAMETERS angstrom
-3.901 -3.439 0.198
1.854 -1.944 2.779
-2.555 3.122 3.887
```

Properties
Total energy ... -4.04 eV per atom
Calculated formation energy ... -0.529 eV/atom
D(E_F) ... 3.21 states/eV/cell
SG ... Pmm2
Calculated volume ... 112.7 Å³/f.u.

---

Entry 6:
The following is a DFT calculation (PBE-GGA) of an optimized crystal structure of LaCdAu. Values from VASP.

Geometry as Quantum ESPRESSO input:
```
&SYSTEM
  ibrav = 0, nat = 9, ntyp = 3
/
ATOMIC_SPECIES
La 138.91 La.upf
Au 196.97 Au.upf
Cd 112.41 Cd.upf
ATOMIC_POSITIONS crystal
La 0.594 0.000 0.000
La 0.000 0.594 0.000
La 0.406 0.406 0.000
Au 0.000 0.000 0.000
Au 0.333 0.667 0.500
Au 0.667 0.333 0.500
Cd 0.744 0.744 0.500
Cd 0.000 0.256 0.500
Cd 0.256 0.000 0.500
CELL_PARAMETERS angstrom
8.074 0.000 0.000
-4.037 6.992 0.000
0.000 0.000 4.081
```

Properties
Total energy ... -3.72 eV per atom
Calculated formation energy ... -0.678 eV/atom
D(E_F) ... 5.90 states/eV/cell
SG ... P-62m
Calculated volume ... 76.8 Å³/f.u.